Ac7Pr2Y2 | PBE | optimized geometry

Output
DFT formation energy: 0.19 eV per atom
space group: C2/m

abc: 6.6216 8.7155 8.7155
angles: 93.45 74.67 74.67
Element x y z (fractional)
Ac (0.1824, 0.5807, 0.0719)
Ac (0.1824, 0.0719, 0.5807)
Ac (0.0000, 0.0000, 0.0000)
Ac (0.8176, 0.4193, 0.9281)
Ac (0.5787, 0.7826, 0.7826)
Ac (0.4213, 0.2174, 0.2174)
Ac (0.8176, 0.9281, 0.4193)
Y (0.5000, 0.2304, 0.7696)
Y (0.5000, 0.7696, 0.2304)
Pr (0.2055, 0.5811, 0.5811)
Pr (0.7945, 0.4189, 0.4189)